No. 1
PBE Nd7Hg2Rh2, optimized geometry; symmetry = Cmmm, No. 65; calculated formation energy = -0.3595 eV per atom; electronic total energy = -52.64 eV/cell; total magnetic moment = 0.000 μB/atom
1.0
-1.4094 -0.6556 -6.7965
6.5535 -3.1404 -1.0559
-2.2239 -5.7411 3.2714
Rh Nd Hg
2 7 2
Direct
0.7095 0.0000 0.2905 Rh
0.2905 0.0000 0.7095 Rh
0.5000 0.2544 0.0000 Nd
0.0000 0.0000 0.0000 Nd
0.0000 0.7456 0.5000 Nd
0.5000 0.7538 0.5000 Nd
0.5000 0.7456 0.0000 Nd
0.5000 0.2462 0.5000 Nd
0.0000 0.2544 0.5000 Nd
0.8215 0.5000 0.8215 Hg
0.1785 0.5000 0.1785 Hg


No. 2
PBE Nd3Hg3Rh2, optimized geometry; E above lowest polymorph = 0 meV/atom; symmetry = Pnma, No. 62; calculated formation energy = -0.5285 eV per atom; electronic total energy = -136.56 eV/cell; total magnetic moment = 0.000 μB/atom
1.0
-1.5432 -4.8227 2.5937
-1.3461 -3.1907 -6.7338
17.0603 -5.8122 -0.6563
Nd Hg Rh
12 12 8
Direct
0.8837 0.5422 0.8928 Nd
0.3297 0.6589 0.7500 Nd
0.1163 0.4578 0.1072 Nd
0.1703 0.1589 0.7500 Nd
0.8297 0.8411 0.2500 Nd
0.6163 0.0422 0.6072 Nd
0.3837 0.9578 0.3928 Nd
0.6163 0.0422 0.8928 Nd
0.6703 0.3411 0.2500 Nd
0.1163 0.4578 0.3928 Nd
0.8837 0.5422 0.6072 Nd
0.3837 0.9578 0.1072 Nd
0.8978 0.8188 0.0298 Hg
0.1022 0.1812 0.9702 Hg
0.1788 0.1700 0.2500 Hg
0.3212 0.6700 0.2500 Hg
0.3978 0.6812 0.5298 Hg
0.6022 0.3188 0.0298 Hg
0.8212 0.8300 0.7500 Hg
0.6788 0.3300 0.7500 Hg
0.8978 0.8188 0.4702 Hg
0.6022 0.3188 0.4702 Hg
0.1022 0.1812 0.5298 Hg
0.3978 0.6812 0.9702 Hg
0.8783 0.1152 0.3731 Rh
0.1217 0.8848 0.8731 Rh
0.1217 0.8848 0.6269 Rh
0.6217 0.6152 0.1269 Rh
0.3783 0.3848 0.8731 Rh
0.8783 0.1152 0.1269 Rh
0.6217 0.6152 0.3731 Rh
0.3783 0.3848 0.6269 Rh